(1)
Below is an optimized crystal structure of Li2MnAsN, with properties calculated at the PBE level.

Cell and atoms, written as POSCAR:
```
Li2MnAsN
1.0
4.0091 0.0000 0.0000
0.0000 4.0091 0.0000
0.0000 0.0000 3.7226
Li Mn As N
2 1 1 1
Direct
0.0000 0.5000 0.0000
0.5000 0.0000 0.0000
0.0000 0.0000 0.5000
0.5000 0.5000 0.5000
0.0000 0.0000 0.0000
```

## Properties
E_form (uncorrected): -399 meV/atom
Calculated density: 4.38 g/cm³
Total magnetization: 0.482 μB per atom
Space-group type: P4/mmm, No. 123

***

(2)
Below is an optimized crystal structure of Rb2UGaS5, with properties calculated at the PBE level.

Cell and atoms, written as POSCAR:
```
Rb2UGaS5
1.0
2.0189 -9.5538 0.0000
2.0189 9.5538 0.0000
0.0000 0.0000 14.3529
Rb U Ga S
4 2 2 10
Direct
0.1110 0.8890 0.5000
0.1252 0.8748 0.1487
0.8748 0.1252 0.6487
0.8890 0.1110 0.0000
0.2025 0.7975 0.8488
0.7975 0.2025 0.3488
0.4319 0.5681 0.2454
0.5681 0.4319 0.7454
0.0602 0.9398 0.8426
0.2987 0.7013 0.4666
0.3086 0.6914 0.2218
0.3294 0.6706 0.8300
0.4922 0.5078 0.1186
0.5078 0.4922 0.6186
0.6706 0.3294 0.3300
0.6914 0.3086 0.7218
0.7013 0.2987 0.9666
0.9398 0.0602 0.3426
```

## Properties
E_form (uncorrected): -1144 meV/atom
Calculated density: 3.83 g/cm³
Total magnetization: 0.110 μB per atom
Space-group type: Cmc2_1, No. 36

***

(3)
Below is an optimized crystal structure of Y2MnSbN, with properties calculated at the PBE level.

Cell and atoms, written as POSCAR:
```
Y2MnSbN
1.0
5.0154 0.0000 0.0000
0.0000 5.0154 0.0000
0.0000 0.0000 3.7611
Y Mn Sb N
2 1 1 1
Direct
0.0000 0.5000 0.0000
0.5000 0.0000 0.0000
0.0000 0.0000 0.5000
0.5000 0.5000 0.5000
0.0000 0.0000 0.0000
```

## Properties
E_form (uncorrected): -773 meV/atom
Calculated density: 6.47 g/cm³
Total magnetization: 0.000 μB per atom
Energy relative to the lowest polymorph listed for this composition: 0.000 eV per atom
Space-group type: P4/mmm, No. 123

***

(4)
Below is an optimized crystal structure of Ta3AsF, with properties calculated at the PBE level.

Cell and atoms, written as POSCAR:
```
Ta3AsF
1.0
4.3259 0.0000 0.0000
0.0000 4.3259 0.0000
0.0000 0.0000 4.3259
Ta As F
3 1 1
Direct
0.0000 0.0000 0.5000
0.0000 0.5000 0.0000
0.5000 0.0000 0.0000
0.5000 0.5000 0.5000
0.0000 0.0000 0.0000
```

## Properties
E_form (uncorrected): 264 meV/atom
Calculated density: 13.06 g/cm³
Total magnetization: 0.000 μB per atom
Energy relative to the lowest polymorph listed for this composition: 0.000 eV per atom
Space-group type: Pm-3m, No. 221

***

(5)
Below is an optimized crystal structure of HfNi4Pt2, with properties calculated at the PBE level.

Cell and atoms, written as POSCAR:
```
HfNi4Pt2
1.0
-2.3480 2.3480 4.6417
2.3480 -2.3480 4.6417
2.3480 2.3480 -4.6417
Hf Ni Pt
1 4 2
Direct
0.0000 0.0000 0.0000
0.0000 0.5000 0.5000
0.2500 0.7500 0.5000
0.5000 0.0000 0.5000
0.7500 0.2500 0.5000
0.3560 0.3560 0.0000
0.6440 0.6440 0.0000
```

## Properties
Calculated density: 13.03 g/cm³
Total magnetization: 0.048 μB per atom
Formation enthalpy at 0 K: 89.8 meV/atom
Space-group type: I4/mmm, No. 139

***

(6)
Below is an optimized crystal structure of Li7Mg2Tl, with properties calculated at the PBE level.

Cell and atoms, written as POSCAR:
```
Li7Mg2Tl
1.0
2.6730 -12.4707 0.0000
2.6730 12.4707 0.0000
0.0000 0.0000 3.0502
Li Mg Tl
7 2 1
Direct
0.0000 0.0000 0.0000
0.1607 0.3549 0.0000
0.3090 0.6910 0.5000
0.3549 0.1607 0.0000
0.6451 0.8393 0.0000
0.6910 0.3090 0.5000
0.8393 0.6451 0.0000
0.2057 0.7943 0.0000
0.7943 0.2057 0.0000
0.5000 0.5000 0.5000
```

## Properties
Calculated density: 2.46 g/cm³
Total magnetization: 0.000 μB per atom
Formation enthalpy at 0 K: -26.3 meV/atom
Energy relative to the lowest polymorph listed for this composition: 0.005 eV per atom
Space-group type: Cmmm, No. 65

***

(7)
Below is an optimized crystal structure of CsK2RbMg, with properties calculated at the PBE level.

Cell and atoms, written as POSCAR:
```
CsK2RbMg
1.0
7.2797 0.0000 0.0000
0.0000 7.2797 0.0000
0.0000 0.0000 7.4810
Cs K Rb Mg
1 2 1 1
Direct
0.0000 0.0000 0.0000
0.0000 0.5000 0.5000
0.5000 0.0000 0.5000
0.5000 0.5000 0.0000
0.5000 0.5000 0.5000
```

## Properties
Calculated density: 1.34 g/cm³
Total magnetization: 0.000 μB per atom
Formation enthalpy at 0 K: 158.2 meV/atom
Energy relative to the lowest polymorph listed for this composition: 0.000 eV per atom
Space-group type: P4/mmm, No. 123

***

(8)
Below is an optimized crystal structure of PmSm2Tm, with properties calculated at the PBE level.

Cell and atoms, written as POSCAR:
```
PmSm2Tm
1.0
3.4299 0.0000 0.0000
0.0000 5.6715 0.0000
0.0000 0.0000 6.8098
Pm Sm Tm
1 2 1
Direct
0.0000 0.0000 0.0000
0.0000 0.5000 0.2607
0.0000 0.5000 0.7393
0.5000 0.0000 0.5000
```

## Properties
Calculated density: 7.70 g/cm³
Total magnetization: 0.000 μB per atom
Formation enthalpy at 0 K: 179.8 meV/atom
Energy relative to the lowest polymorph listed for this composition: 0.162 eV per atom
Space-group type: Pmmm, No. 47

***

(9)
Below is an optimized crystal structure of CrRhAu2, with properties calculated at the PBE level.

Cell and atoms, written as POSCAR:
```
CrRhAu2
1.0
2.8556 0.0000 0.0000
0.0000 2.8556 0.0000
0.0000 0.0000 7.8463
Cr Rh Au
1 1 2
Direct
0.0000 0.0000 0.0000
0.5000 0.5000 0.1981
0.0000 0.0000 0.4667
0.5000 0.5000 0.7505
```

## Properties
Calculated density: 14.24 g/cm³
Total magnetization: 0.656 μB per atom
Formation enthalpy at 0 K: 52.3 meV/atom
Space-group type: P4mm, No. 99

***

(10)
Below is an optimized crystal structure of KHfSeBr2, with properties calculated at the PBE level.

Cell and atoms, written as POSCAR:
```
KHfSeBr2
1.0
5.4868 0.0000 0.0000
0.0000 5.4868 0.0000
0.0000 0.0000 5.7743
K Hf Se Br
1 1 1 2
Direct
0.0000 0.0000 0.0000
0.5000 0.5000 0.5000
0.0000 0.0000 0.5000
0.0000 0.5000 0.0000
0.5000 0.0000 0.0000
```

## Properties
E_form (uncorrected): 545 meV/atom
Calculated density: 4.36 g/cm³
Total magnetization: 0.162 μB per atom
Energy relative to the lowest polymorph listed for this composition: 1.729 eV per atom
Space-group type: P4/mmm, No. 123

***

(11)
Below is an optimized crystal structure of CeSmEuIn, with properties calculated at the PBE level.

Cell and atoms, written as POSCAR:
```
CeSmEuIn
1.0
0.0000 3.9261 3.9261
3.9261 0.0000 3.9261
3.9261 3.9261 0.0000
Ce Sm Eu In
1 1 1 1
Direct
0.0000 0.0000 0.0000
0.2500 0.2500 0.2500
0.7500 0.7500 0.7500
0.5000 0.5000 0.5000
```

## Properties
Calculated density: 7.65 g/cm³
Total magnetization: 2.635 μB per atom
Formation enthalpy at 0 K: -50.6 meV/atom
Space-group type: F-43m, No. 216

***

(12)
Below is an optimized crystal structure of Sm4PtAu, with properties calculated at the PBE level.

Cell and atoms, written as POSCAR:
```
Sm4PtAu
1.0
7.2080 0.0000 0.0000
0.0000 7.1685 0.0000
-0.3228 0.0000 7.1314
Sm Pt Au
8 2 2
Direct
0.1554 0.1596 0.1724
0.1554 0.3404 0.6724
0.3338 0.6564 0.1457
0.3338 0.8436 0.6457
0.6662 0.1564 0.3543
0.6662 0.3436 0.8543
0.8446 0.6596 0.3276
0.8446 0.8404 0.8276
0.0000 0.0000 0.5000
0.0000 0.5000 0.0000
0.5000 0.0000 0.0000
0.5000 0.5000 0.5000
```

## Properties
Calculated density: 8.95 g/cm³
Total magnetization: 0.000 μB per atom
Formation enthalpy at 0 K: -577.3 meV/atom
Energy relative to the lowest polymorph listed for this composition: 0.101 eV per atom
Space-group type: P2_1/c, No. 14